VASP calculation (PBE-GGA) on an optimized crystal structure of TaAl2Pd.

Properties
Symmetry   P4/mmm, No. 123
Formation energy from the elements   -0.56 eV per atom

Cell lengths 2.889, 2.889, 7.501 Å; angles 90.00, 90.00, 90.00 degrees
Fractional coordinates of all 4 atoms:
Ta (0.000, 0.000, 0.000)
Al (0.500, 0.500, 0.272)
Al (0.500, 0.500, 0.728)
Pd (0.000, 0.000, 0.500)


VASP calculation (PBE-GGA) on an optimized crystal structure of TaAl2Pd.

Properties
Symmetry   R3m, No. 160
Formation energy from the elements   -0.42 eV per atom

Cell lengths 2.929, 2.929, 26.112 Å; angles 90.00, 90.00, 120.00 degrees
Fractional coordinates of all 12 atoms:
Ta (0.000, 0.000, 0.000)
Ta (0.333, 0.667, 0.667)
Ta (0.667, 0.333, 0.333)
Al (0.000, 0.000, 0.245)
Al (0.000, 0.000, 0.423)
Al (0.333, 0.667, 0.090)
Al (0.333, 0.667, 0.912)
Al (0.667, 0.333, 0.578)
Al (0.667, 0.333, 0.756)
Pd (0.000, 0.000, 0.835)
Pd (0.333, 0.667, 0.501)
Pd (0.667, 0.333, 0.168)


VASP calculation (PBE-GGA) on an optimized crystal structure of TaAl2Pd.

Properties
Symmetry   R-3m, No. 166
Formation energy from the elements   -0.39 eV per atom

Cell lengths 2.920, 2.920, 26.316 Å; angles 90.00, 90.00, 120.00 degrees
Fractional coordinates of all 12 atoms:
Ta (0.000, 0.000, 0.000)
Ta (0.333, 0.667, 0.667)
Ta (0.667, 0.333, 0.333)
Al (0.000, 0.000, 0.245)
Al (0.000, 0.000, 0.755)
Al (0.333, 0.667, 0.422)
Al (0.333, 0.667, 0.911)
Al (0.667, 0.333, 0.089)
Al (0.667, 0.333, 0.578)
Pd (0.000, 0.000, 0.500)
Pd (0.333, 0.667, 0.167)
Pd (0.667, 0.333, 0.833)


VASP calculation (PBE-GGA) on an optimized crystal structure of Ta2AlPd9.

Properties
Symmetry   P4/mmm, No. 123
Formation energy from the elements   -0.50 eV per atom

Cell lengths 3.951, 3.951, 11.845 Å; angles 90.00, 90.00, 90.00 degrees
Fractional coordinates of all 12 atoms:
Ta (0.000, 0.000, 0.173)
Ta (0.000, 0.000, 0.827)
Al (0.000, 0.000, 0.500)
Pd (0.000, 0.500, 0.000)
Pd (0.000, 0.500, 0.332)
Pd (0.000, 0.500, 0.668)
Pd (0.500, 0.000, 0.000)
Pd (0.500, 0.000, 0.332)
Pd (0.500, 0.000, 0.668)
Pd (0.500, 0.500, 0.165)
Pd (0.500, 0.500, 0.500)
Pd (0.500, 0.500, 0.835)


VASP calculation (PBE-GGA) on an optimized crystal structure of TaAl2Pd.

Properties
Symmetry   Fm-3m, No. 225
Formation energy from the elements   -0.23 eV per atom

Cell lengths 6.320, 6.320, 6.320 Å; angles 90.00, 90.00, 90.00 degrees
Fractional coordinates of all 16 atoms:
Ta (0.000, 0.000, 0.000)
Ta (0.000, 0.500, 0.500)
Ta (0.500, 0.000, 0.500)
Ta (0.500, 0.500, 0.000)
Al (0.250, 0.250, 0.250)
Al (0.250, 0.250, 0.750)
Al (0.250, 0.750, 0.250)
Al (0.250, 0.750, 0.750)
Al (0.750, 0.250, 0.250)
Al (0.750, 0.250, 0.750)
Al (0.750, 0.750, 0.250)
Al (0.750, 0.750, 0.750)
Pd (0.000, 0.000, 0.500)
Pd (0.000, 0.500, 0.000)
Pd (0.500, 0.000, 0.000)
Pd (0.500, 0.500, 0.500)


VASP calculation (PBE-GGA) on an optimized crystal structure of TaAlPd2.

Properties
Symmetry   R3m, No. 160
Formation energy from the elements   -0.45 eV per atom

Cell lengths 2.917, 2.917, 25.798 Å; angles 90.00, 90.00, 120.00 degrees
Fractional coordinates of all 12 atoms:
Ta (0.000, 0.000, 0.000)
Ta (0.333, 0.667, 0.667)
Ta (0.667, 0.333, 0.333)
Al (0.000, 0.000, 0.834)
Al (0.333, 0.667, 0.500)
Al (0.667, 0.333, 0.167)
Pd (0.000, 0.000, 0.423)
Pd (0.000, 0.000, 0.577)
Pd (0.333, 0.667, 0.090)
Pd (0.333, 0.667, 0.244)
Pd (0.667, 0.333, 0.757)
Pd (0.667, 0.333, 0.910)


VASP calculation (PBE-GGA) on an optimized crystal structure of Zr2TaAl5Pd2.

Properties
Symmetry   P4/mbm, No. 127
Formation energy from the elements   -0.53 eV per atom

Cell lengths 9.199, 9.199, 4.096 Å; angles 90.00, 90.00, 90.00 degrees
Fractional coordinates of all 20 atoms:
Zr (0.182, 0.318, 0.000)
Zr (0.318, 0.818, 0.000)
Zr (0.682, 0.182, 0.000)
Zr (0.818, 0.682, 0.000)
Ta (0.000, 0.000, 0.000)
Ta (0.500, 0.500, 0.000)
Al (0.000, 0.500, 0.500)
Al (0.058, 0.795, 0.500)
Al (0.205, 0.058, 0.500)
Al (0.295, 0.558, 0.500)
Al (0.442, 0.295, 0.500)
Al (0.500, 0.000, 0.500)
Al (0.558, 0.705, 0.500)
Al (0.705, 0.442, 0.500)
Al (0.795, 0.942, 0.500)
Al (0.942, 0.205, 0.500)
Pd (0.116, 0.616, 0.000)
Pd (0.384, 0.116, 0.000)
Pd (0.616, 0.884, 0.000)
Pd (0.884, 0.384, 0.000)


VASP calculation (PBE-GGA) on an optimized crystal structure of Tb4AlPd.

Properties
Symmetry   F-43m, No. 216
Formation energy from the elements   -0.47 eV per atom

Cell lengths 9.643, 9.643, 9.643 Å; angles 60.00, 60.00, 60.00 degrees
Fractional coordinates of all 24 atoms:
Tb (0.057, 0.057, 0.443)
Tb (0.057, 0.443, 0.057)
Tb (0.057, 0.443, 0.443)
Tb (0.183, 0.606, 0.606)
Tb (0.185, 0.185, 0.815)
Tb (0.185, 0.815, 0.185)
Tb (0.185, 0.815, 0.815)
Tb (0.443, 0.057, 0.057)
Tb (0.443, 0.057, 0.443)
Tb (0.443, 0.443, 0.057)
Tb (0.606, 0.183, 0.606)
Tb (0.606, 0.606, 0.183)
Tb (0.606, 0.606, 0.606)
Tb (0.815, 0.185, 0.185)
Tb (0.815, 0.185, 0.815)
Tb (0.815, 0.815, 0.185)
Al (0.519, 0.827, 0.827)
Al (0.827, 0.519, 0.827)
Al (0.827, 0.827, 0.519)
Al (0.827, 0.827, 0.827)
Pd (0.395, 0.395, 0.395)
Pd (0.395, 0.395, 0.816)
Pd (0.395, 0.816, 0.395)
Pd (0.816, 0.395, 0.395)


VASP calculation (PBE-GGA) on an optimized crystal structure of TbAl12Pd6.

Properties
Symmetry   R-3m, No. 166
Formation energy from the elements   -0.60 eV per atom

Cell lengths 7.180, 7.180, 7.180 Å; angles 104.68, 104.68, 104.68 degrees
Fractional coordinates of all 19 atoms:
Tb (0.000, 0.000, 0.000)
Al (0.115, 0.500, 0.885)
Al (0.115, 0.885, 0.500)
Al (0.148, 0.399, 0.399)
Al (0.399, 0.148, 0.399)
Al (0.399, 0.399, 0.148)
Al (0.500, 0.115, 0.885)
Al (0.500, 0.885, 0.115)
Al (0.601, 0.601, 0.852)
Al (0.601, 0.852, 0.601)
Al (0.852, 0.601, 0.601)
Al (0.885, 0.115, 0.500)
Al (0.885, 0.500, 0.115)
Pd (0.280, 0.280, 0.709)
Pd (0.280, 0.709, 0.280)
Pd (0.291, 0.720, 0.720)
Pd (0.709, 0.280, 0.280)
Pd (0.720, 0.291, 0.720)
Pd (0.720, 0.720, 0.291)


VASP calculation (PBE-GGA) on an optimized crystal structure of Tb3AlPd12.

Properties
Symmetry   P4/mmm, No. 123
Formation energy from the elements   -0.80 eV per atom

Cell lengths 4.109, 4.109, 16.085 Å; angles 90.00, 90.00, 90.00 degrees
Fractional coordinates of all 16 atoms:
Tb (0.000, 0.000, 0.000)
Tb (0.000, 0.000, 0.258)
Tb (0.000, 0.000, 0.742)
Al (0.000, 0.000, 0.500)
Pd (0.000, 0.500, 0.129)
Pd (0.000, 0.500, 0.389)
Pd (0.000, 0.500, 0.611)
Pd (0.000, 0.500, 0.871)
Pd (0.500, 0.000, 0.129)
Pd (0.500, 0.000, 0.389)
Pd (0.500, 0.000, 0.611)
Pd (0.500, 0.000, 0.871)
Pd (0.500, 0.500, 0.000)
Pd (0.500, 0.500, 0.259)
Pd (0.500, 0.500, 0.500)
Pd (0.500, 0.500, 0.741)


VASP calculation (PBE-GGA) on an optimized crystal structure of TbAlPd2.

Properties
Symmetry   Pnma, No. 62
Formation energy from the elements   -0.92 eV per atom

Cell lengths 7.310, 7.101, 5.773 Å; angles 90.00, 90.00, 90.00 degrees
Fractional coordinates of all 16 atoms:
Tb (0.029, 0.250, 0.152)
Tb (0.471, 0.750, 0.652)
Tb (0.529, 0.250, 0.348)
Tb (0.971, 0.750, 0.848)
Al (0.115, 0.750, 0.351)
Al (0.385, 0.250, 0.851)
Al (0.615, 0.750, 0.149)
Al (0.885, 0.250, 0.649)
Pd (0.183, 0.051, 0.587)
Pd (0.183, 0.449, 0.587)
Pd (0.317, 0.551, 0.087)
Pd (0.317, 0.949, 0.087)
Pd (0.683, 0.051, 0.913)
Pd (0.683, 0.449, 0.913)
Pd (0.817, 0.551, 0.413)
Pd (0.817, 0.949, 0.413)